No. 1
Computed, not measured: a geometry-optimized LaErCdBi structure at the PBE level of DFT.

abc: 5.499 5.499 5.499
angles: 60.00 60.00 60.00
Atoms (fractional coordinates):
La (0.000, 0.000, 0.000)
Er (0.500, 0.500, 0.500)
Cd (0.250, 0.250, 0.250)
Bi (0.750, 0.750, 0.750)

Energy of formation from the pure elements, meV/atom: -460

***

No. 2
Computed, not measured: a geometry-optimized SiTcAg2 structure at the PBE level of DFT.

abc: 5.300 5.300 5.300
angles: 146.50 127.64 63.60
Atoms (fractional coordinates):
Si (0.000, 0.000, 0.000)
Tc (0.801, 0.301, 0.500)
Ag (0.235, 0.735, 0.500)
Ag (0.515, 0.515, 0.000)

Formation energy from raw total energies, eV per atom: 0.37

***

No. 3
Computed, not measured: a geometry-optimized La6TlPt4 structure at the PBE level of DFT.

abc: 7.491 7.491 21.805
angles: 90.00 90.00 147.00
Atoms (fractional coordinates):
La (0.000, 0.000, 0.000)
La (0.000, 0.000, 0.500)
La (0.164, 0.836, 0.750)
La (0.269, 0.731, 0.084)
La (0.269, 0.731, 0.416)
La (0.461, 0.539, 0.656)
La (0.461, 0.539, 0.844)
La (0.539, 0.461, 0.156)
La (0.539, 0.461, 0.344)
La (0.731, 0.269, 0.584)
La (0.731, 0.269, 0.916)
La (0.836, 0.164, 0.250)
Tl (0.158, 0.842, 0.250)
Tl (0.842, 0.158, 0.750)
Pt (0.095, 0.905, 0.625)
Pt (0.095, 0.905, 0.875)
Pt (0.363, 0.637, 0.540)
Pt (0.363, 0.637, 0.960)
Pt (0.637, 0.363, 0.040)
Pt (0.637, 0.363, 0.460)
Pt (0.905, 0.095, 0.125)
Pt (0.905, 0.095, 0.375)

Energy of formation from the pure elements, meV/atom: -943

***

No. 4
Computed, not measured: a geometry-optimized RbMgSnSe3 structure at the PBE level of DFT.

abc: 8.602 4.705 10.471
angles: 90.00 112.85 90.00
Atoms (fractional coordinates):
Rb (0.230, 0.250, 0.242)
Rb (0.770, 0.750, 0.758)
Mg (0.359, 0.750, 0.895)
Mg (0.641, 0.250, 0.105)
Sn (0.164, 0.250, 0.640)
Sn (0.836, 0.750, 0.360)
Se (0.110, 0.250, 0.865)
Se (0.210, 0.750, 0.543)
Se (0.485, 0.750, 0.164)
Se (0.515, 0.250, 0.836)
Se (0.790, 0.250, 0.457)
Se (0.890, 0.750, 0.135)

Formation energy from raw total energies, eV per atom: -0.79

***

No. 5
Computed, not measured: a geometry-optimized TiNi3Cl structure at the PBE level of DFT.

abc: 4.156 4.156 4.156
angles: 90.00 90.00 90.00
Atoms (fractional coordinates):
Ti (0.000, 0.000, 0.000)
Ni (0.000, 0.500, 0.500)
Ni (0.500, 0.000, 0.500)
Ni (0.500, 0.500, 0.000)
Cl (0.500, 0.500, 0.500)

Formation energy from raw total energies, eV per atom: 0.58
Polymorph energy (0 for the lowest one), meV per atom: 0

***

No. 6
Computed, not measured: a geometry-optimized NaCe2Cl11 structure at the PBE level of DFT.

abc: 11.338 11.338 11.338
angles: 122.90 105.40 101.02
Atoms (fractional coordinates):
Na (0.250, 0.250, 0.000)
Na (0.750, 0.750, 0.000)
Ce (0.237, 0.207, 0.444)
Ce (0.263, 0.707, 0.969)
Ce (0.737, 0.293, 0.031)
Ce (0.763, 0.793, 0.556)
Cl (0.000, 0.500, 0.500)
Cl (0.009, 0.991, 0.750)
Cl (0.022, 0.653, 0.925)
Cl (0.165, 0.465, 0.630)
Cl (0.227, 0.153, 0.631)
Cl (0.241, 0.259, 0.250)
Cl (0.259, 0.509, 0.018)
Cl (0.273, 0.904, 0.925)
Cl (0.335, 0.965, 0.301)
Cl (0.478, 0.404, 0.631)
Cl (0.491, 0.241, 0.982)
Cl (0.500, 0.000, 0.500)
Cl (0.509, 0.759, 0.018)
Cl (0.522, 0.596, 0.369)
Cl (0.665, 0.035, 0.699)
Cl (0.727, 0.096, 0.075)
Cl (0.741, 0.491, 0.982)
Cl (0.759, 0.741, 0.750)
Cl (0.773, 0.847, 0.369)
Cl (0.835, 0.535, 0.370)
Cl (0.978, 0.347, 0.075)
Cl (0.991, 0.009, 0.250)

Formation energy from raw total energies, eV per atom: -1.54

***

No. 7
Computed, not measured: a geometry-optimized Y2ScFe2 structure at the PBE level of DFT.

abc: 7.087 7.087 4.252
angles: 90.00 90.00 90.00
Atoms (fractional coordinates):
Y (0.178, 0.322, 0.000)
Y (0.322, 0.822, 0.000)
Y (0.678, 0.178, 0.000)
Y (0.822, 0.678, 0.000)
Sc (0.000, 0.000, 0.500)
Sc (0.500, 0.500, 0.500)
Fe (0.109, 0.609, 0.500)
Fe (0.391, 0.109, 0.500)
Fe (0.609, 0.891, 0.500)
Fe (0.891, 0.391, 0.500)

Energy of formation from the pure elements, meV/atom: 22

***

No. 8
Computed, not measured: a geometry-optimized Bi2BrNO structure at the PBE level of DFT.

abc: 4.905 4.905 4.367
angles: 90.00 90.00 90.00
Atoms (fractional coordinates):
Bi (0.000, 0.500, 0.000)
Bi (0.500, 0.000, 0.000)
Br (0.000, 0.000, 0.500)
N (0.000, 0.000, 0.000)
O (0.500, 0.500, 0.500)

Formation energy from raw total energies, eV per atom: 0.80
Polymorph energy (0 for the lowest one), meV per atom: 141

***

Q: Which formula does entry 6 have?
A: NaCe2Cl11